Here is PHPb2 at its PBEsol-relaxed geometry from Alexandria via LeMat-Bulk. Energies are from SCAN.

The structure in POSCAR format:
```
PHPb2
1.0
-2.913 2.913 5.645
2.913 -2.913 5.645
2.913 2.913 -5.645
P H Pb
2 2 4
Direct
0.000 0.000 0.000
0.750 0.250 0.500
0.250 0.750 0.500
0.500 0.500 0.000
0.189 0.625 0.064
0.375 0.439 0.564
0.561 0.125 0.936
0.875 0.811 0.436
```

Computed properties:
* total moment: 0.00 μB per formula unit
* Fermi-level density of states: 0.9 states/eV/f.u.
* volume: 95.8 Å³/f.u.
* total DFT energy (no corrections): -41.029 eV per atom